# 1
Computed, not measured: a relaxed structure of MgAlS at the PBE level of DFT.

As for the density of states at the Fermi level: 0.262 states/eV/atom.

The space group is R-3m (No. 166, hexagonal axes) and the conventional cell measures 4.3075, 4.3075 and 24.8612 Å, with angles of 90.00, 90.00 and 120.00 degrees. Symmetry generates all atoms from Mg at (0.0000, 0.0000, 0.0863), Al at (0.0000, 0.0000, 0.3213) and S at (0.0000, 0.0000, 0.2248).

# 2
Computed, not measured: a relaxed structure of Mg2AlS2 at the PBE level of DFT.

As for the density of states at the Fermi level: 0.308 states/eV/atom. The energy relative to the lowest polymorph listed for this composition comes out at 0.0 meV/atom.

The space group is P4/mbm (No. 127) and the conventional cell measures 7.252, 7.252 and 3.443 Å, with angles of 90.00, 90.00 and 90.00 degrees. Symmetry generates all atoms from Mg at (0.153, 0.347, 0.000), Al at (0.000, 0.000, 0.500) and S at (0.157, 0.657, 0.500).

# 3
Computed, not measured: a relaxed structure of MgAl2S4 at the PBE level of DFT.

As for the density of states at the Fermi level: 0.000 states/eV/atom.

The space group is R-3m (No. 166, hexagonal axes) and the conventional cell measures 3.7166, 3.7166 and 39.1305 Å, with angles of 90.00, 90.00 and 120.00 degrees. Symmetry generates all atoms from Mg at (0.0000, 0.0000, 0.0000), Al at (0.0000, 0.0000, 0.2426), S at (0.0000, 0.0000, 0.1154) and S at (0.0000, 0.0000, 0.2980).

# 4
Computed, not measured: a relaxed structure of Mg2AlS2 at the PBE level of DFT.

As for the density of states at the Fermi level: 0.825 states/eV/atom. The energy relative to the lowest polymorph listed for this composition comes out at 90.6 meV/atom.

The space group is I4/mmm (No. 139) and the conventional cell measures 4.351, 4.351 and 12.152 Å, with angles of 90.00, 90.00 and 90.00 degrees. Symmetry generates all atoms from Mg at (0.000, 0.500, 0.250), Al at (0.000, 0.000, 0.000) and S at (0.000, 0.000, 0.354).

# 5
Computed, not measured: a relaxed structure of MgAl2S4 at the PBE level of DFT.

As for the density of states at the Fermi level: 0.000 states/eV/atom.

The space group is Pnma (No. 62) and the conventional cell measures 12.645, 7.266 and 5.955 Å, with angles of 90.00, 90.00 and 90.00 degrees. Symmetry generates all atoms from Mg at (0.235, 0.250, 0.002), Al at (0.000, 0.000, 0.500), Al at (0.085, 0.750, 0.091), S at (0.074, 0.250, 0.729), S at (0.084, 0.750, 0.713) and S at (0.158, 0.505, 0.261).

# 6
Computed, not measured: a relaxed structure of MgAlS3 at the PBE level of DFT.

As for the density of states at the Fermi level: 0.487 states/eV/atom. The energy relative to the lowest polymorph listed for this composition comes out at 561.1 meV/atom.

The space group is Pm-3m (No. 221) and the conventional cell measures 4.622, 4.622 and 4.622 Å, with angles of 90.00, 90.00 and 90.00 degrees. Symmetry generates all atoms from Mg at (0.000, 0.000, 0.000), Al at (0.500, 0.500, 0.500) and S at (0.000, 0.500, 0.500).

# 7
Computed, not measured: a relaxed structure of MgAl2S4 at the PBE level of DFT.

As for the density of states at the Fermi level: 0.000 states/eV/atom.

The space group is Fd-3m (No. 227, origin choice 2) and the conventional cell measures 10.238, 10.238 and 10.238 Å, with angles of 90.00, 90.00 and 90.00 degrees. Symmetry generates all atoms from Mg at (0.125, 0.125, 0.125), Al at (0.000, 0.000, 0.500) and S at (0.012, 0.012, 0.738).

# 8
Computed, not measured: a relaxed structure of MgAl3S6 at the PBE level of DFT.

As for the density of states at the Fermi level: 0.458 states/eV/atom.

The space group is Cmmm (No. 65) and the conventional cell measures 8.673, 12.142 and 3.685 Å, with angles of 90.00, 90.00 and 90.00 degrees. Symmetry generates all atoms from Mg at (0.000, 0.000, 0.000), Al at (0.000, 0.500, 0.000), Al at (0.250, 0.250, 0.500), S at (0.000, 0.157, 0.500) and S at (0.194, 0.374, 0.000).

# 9
Computed, not measured: a relaxed structure of TbMgAlS4 at the PBE level of DFT.

The space group is Imma (No. 74) and the conventional cell measures 7.569, 7.588 and 10.676 Å, with angles of 90.00, 90.00 and 90.00 degrees. Symmetry generates all atoms from Tb at (0.000, 0.000, 0.000), Mg at (0.250, 0.250, 0.250), Al at (0.000, 0.250, 0.630), S at (0.000, 0.007, 0.255) and S at (0.242, 0.250, 0.498).

# 10
Computed, not measured: a relaxed structure of MgTiAlS4 at the PBE level of DFT.

As for the density of states at the Fermi level: 0.466 states/eV/atom.

The space group is Imma (No. 74) and the conventional cell measures 7.176, 7.298 and 10.499 Å, with angles of 90.00, 90.00 and 90.00 degrees. Symmetry generates all atoms from Mg at (0.000, 0.250, 0.126), Ti at (0.250, 0.250, 0.750), Al at (0.000, 0.000, 0.500), S at (0.000, 0.014, 0.733) and S at (0.227, 0.250, 0.513).

# 11
Computed, not measured: a relaxed structure of Mg2Ti3AlS8 at the PBE level of DFT.

As for the density of states at the Fermi level: 0.448 states/eV/atom.

The space group is R-3m (No. 166, hexagonal axes) and the conventional cell measures 7.2135, 7.2135 and 18.3618 Å, with angles of 90.00, 90.00 and 120.00 degrees. Symmetry generates all atoms from Mg at (0.0000, 0.0000, 0.1268), Ti at (0.0000, 0.5000, 0.0000), Al at (0.0000, 0.0000, 0.5000), S at (0.0000, 0.0000, 0.2593) and S at (0.0310, 0.5155, 0.2513).

# 12
Computed, not measured: a relaxed structure of Mg2TiAl3S8 at the PBE level of DFT.

As for the density of states at the Fermi level: 0.349 states/eV/atom.

The space group is R-3m (No. 166, hexagonal axes) and the conventional cell measures 7.2640, 7.2640 and 17.8837 Å, with angles of 90.00, 90.00 and 120.00 degrees. Symmetry generates all atoms from Mg at (0.0000, 0.0000, 0.1255), Ti at (0.0000, 0.0000, 0.5000), Al at (0.0000, 0.5000, 0.0000), S at (0.0000, 0.0000, 0.2623) and S at (0.0285, 0.5143, 0.2557).

| no. | ΔE_f (raw) (meV per atom) | volume (Å³/atom) | magnetic moment (μB/atom) |
| --- | --- | --- | --- |
| 1 | -599 | 22.19 | 0.000 |
| 2 | -593 | 18.11 | 0.000 |
| 3 | -1167 | 22.29 | 0.000 |
| 4 | -503 | 23.00 | 0.000 |
| 5 | -1197 | 19.54 | 0.000 |
| 6 | -360 | 19.75 | 0.000 |
| 7 | -1182 | 19.16 | 0.000 |
| 8 | -773 | 19.40 | 0.000 |
| 9 | -1473 | 21.90 | 0.000 |
| 10 | -1234 | 19.64 | 0.142 |
| 11 | -1284 | 19.70 | 0.188 |
| 12 | -1196 | 19.46 | 0.072 |